Record 1
Material: ThCd2Hg4
Method: DFT, PBE
State: optimized geometry

Properties
As for the calculated total energy: -0.1065 Ry per atom. The formation energy is 0.0446 eV/atom. The calculated volume is 28.7 Å³/atom.

Structure (CIF):
```
data_ThCd2Hg4
_cell_length_a 4.5279
_cell_length_b 4.5279
_cell_length_c 33.9135
_cell_angle_alpha 90.00
_cell_angle_beta 90.00
_cell_angle_gamma 120.00
_space_group_name_H-M_alt 'R -3 m'
_space_group_IT_number 166
_space_group_name_Hall '-R 3 2"'
loop_
_atom_site_label
_atom_site_fract_x
_atom_site_fract_y
_atom_site_fract_z
Th1 0.0000 0.0000 0.0000
Cd1 0.0000 0.0000 0.1890
Hg1 0.0000 0.0000 0.0986
Hg2 0.0000 0.0000 0.2801
```

Record 2
Material: Li3La2Hg4
Method: DFT, PBE
State: optimized geometry

Properties
As for the calculated total energy: -0.1663 Ry per atom. The formation energy is -0.3955 eV/atom. The calculated volume is 23.8 Å³/atom.

Structure (CIF):
```
data_Li3La2Hg4
_cell_length_a 6.2865
_cell_length_b 16.2898
_cell_length_c 8.3552
_cell_angle_alpha 90.00
_cell_angle_beta 90.00
_cell_angle_gamma 90.00
_space_group_name_H-M_alt 'C m c e'
_space_group_IT_number 64
_space_group_name_Hall '-C 2ac 2'
loop_
_atom_site_label
_atom_site_fract_x
_atom_site_fract_y
_atom_site_fract_z
Li1 0.0000 0.0000 0.0000
Li2 0.2500 0.2174 0.2500
La1 0.0000 0.1176 0.5807
Hg1 0.0000 0.1824 0.9659
Hg2 0.2500 0.0472 0.2500
```

Record 3
Material: Sn2PdPt2
Method: DFT, PBE
State: optimized geometry

Properties
As for the calculated total energy: -0.3974 Ry per atom. The formation energy is -0.3507 eV/atom. The calculated volume is 18.7 Å³/atom.

Structure (CIF):
```
data_Sn2PdPt2
_cell_length_a 7.4039
_cell_length_b 7.4039
_cell_length_c 3.4199
_cell_angle_alpha 90.00
_cell_angle_beta 90.00
_cell_angle_gamma 90.00
_space_group_name_H-M_alt 'P 4/m b m'
_space_group_IT_number 127
_space_group_name_Hall '-P 4 2ab'
loop_
_atom_site_label
_atom_site_fract_x
_atom_site_fract_y
_atom_site_fract_z
Sn1 0.1670 0.3330 0.0000
Pd1 0.0000 0.0000 0.5000
Pt1 0.1351 0.6351 0.5000
```

Record 4
Material: RbNaPuS3
Method: DFT, PBE
State: optimized geometry

Properties
As for the calculated total energy: -0.4536 Ry per atom. The calculation puts the energy relative to the elements, uncorrected at -1338 meV/atom. The calculated volume is 28.4 Å³/atom.

Structure (CIF):
```
data_RbNaPuS3
_cell_length_a 8.3022
_cell_length_b 4.0894
_cell_length_c 10.0335
_cell_angle_alpha 90.00
_cell_angle_beta 92.66
_cell_angle_gamma 90.00
_space_group_name_H-M_alt 'P 1 21/m 1'
_space_group_IT_number 11
loop_
_space_group_symop_operation_xyz
'x,y,z'
'-x,-y,-z'
'-x,y+1/2,-z'
'x,-y+1/2,z'
loop_
_atom_site_label
_atom_site_fract_x
_atom_site_fract_y
_atom_site_fract_z
Rb1 0.0603 0.2500 0.3206
Na1 0.3145 0.7500 0.9822
Pu1 0.4426 0.2500 0.6703
S1 0.1968 0.2500 0.8152
S2 0.3194 0.7500 0.5110
S3 0.4160 0.2500 0.1894
```

Record 5
Material: NaNpCuO4
Method: DFT, PBE
State: optimized geometry

Properties
As for the calculated total energy: -0.5483 Ry per atom. The calculation puts the energy relative to the elements, uncorrected at -2004 meV/atom. The calculated volume is 14.4 Å³/atom.

Structure (CIF):
```
data_NaNpCuO4
_cell_length_a 6.1385
_cell_length_b 6.8416
_cell_length_c 9.6338
_cell_angle_alpha 90.00
_cell_angle_beta 90.00
_cell_angle_gamma 90.00
_space_group_name_H-M_alt 'I m m a'
_space_group_IT_number 74
_space_group_name_Hall '-I 2b 2'
loop_
_atom_site_label
_atom_site_fract_x
_atom_site_fract_y
_atom_site_fract_z
Na1 0.0000 0.2500 0.1712
Np1 0.0000 0.0000 0.5000
Cu1 0.2500 0.2500 0.7500
O1 0.0000 0.0500 0.7089
O2 0.2103 0.2500 0.4737
```

Record 6
Material: ScWCl2
Method: DFT, PBE
State: optimized geometry

Properties
As for the calculated total energy: -0.4135 Ry per atom. The calculation puts the energy relative to the elements, uncorrected at 119 meV/atom. The calculated volume is 18.2 Å³/atom.

Structure (CIF):
```
data_ScWCl2
_cell_length_a 2.9735
_cell_length_b 5.7127
_cell_length_c 8.5923
_cell_angle_alpha 90.00
_cell_angle_beta 90.00
_cell_angle_gamma 90.00
_space_group_name_H-M_alt 'C m m m'
_space_group_IT_number 65
_space_group_name_Hall '-C 2 2'
loop_
_atom_site_label
_atom_site_fract_x
_atom_site_fract_y
_atom_site_fract_z
Sc1 0.0000 0.0000 0.0000
W1 0.0000 0.0000 0.5000
Cl1 0.0000 0.5000 0.2628
```

Record 7
Material: Dy2Tm6Zr
Method: DFT, PBE
State: optimized geometry

Properties
As for the calculated total energy: -0.3592 Ry per atom. The formation energy is 0.0659 eV/atom. The calculated volume is 30.0 Å³/atom.

Structure (CIF):
```
data_Dy2Tm6Zr
_cell_length_a 3.5007
_cell_length_b 3.5007
_cell_length_c 25.4343
_cell_angle_alpha 90.00
_cell_angle_beta 90.00
_cell_angle_gamma 120.00
_space_group_name_H-M_alt 'P -6 m 2'
_space_group_IT_number 187
_space_group_name_Hall 'P -6 2'
loop_
_atom_site_label
_atom_site_fract_x
_atom_site_fract_y
_atom_site_fract_z
Dy1 0.0000 0.0000 0.1755
Tm1 0.0000 0.0000 0.3990
Tm2 0.6667 0.3333 0.0655
Tm3 0.6667 0.3333 0.2872
Zr1 0.6667 0.3333 0.5000
```

Record 8
Material: CaY2MgO
Method: DFT, PBE
State: optimized geometry

Properties
As for the calculated total energy: -0.3998 Ry per atom. The calculation puts the energy relative to the elements, uncorrected at -1143 meV/atom. The calculated volume is 23.4 Å³/atom.

Structure (CIF):
```
data_CaY2MgO
_cell_length_a 4.8478
_cell_length_b 4.8478
_cell_length_c 4.9862
_cell_angle_alpha 90.00
_cell_angle_beta 90.00
_cell_angle_gamma 90.00
_space_group_name_H-M_alt 'P 4/m m m'
_space_group_IT_number 123
_space_group_name_Hall '-P 4 2'
loop_
_atom_site_label
_atom_site_fract_x
_atom_site_fract_y
_atom_site_fract_z
Ca1 0.0000 0.0000 0.0000
Y1 0.0000 0.5000 0.5000
Mg1 0.5000 0.5000 0.0000
O1 0.0000 0.0000 0.5000
```